(1)
Crystalline Pr8CoNi2 at its relaxed geometry. Source: the Alexandria database, functional PBE-GGA.

Output
- Excess energy over the best structure of this formula in the dataset: 0.0000 eV per atom
- Space group: C2/m
- Energy of formation: -9 kJ per mole of atoms

Cell: 9.649 9.649 8.966 Å, 94.17 94.17 23.17°
Atoms (fractional coordinates):
1 Pr 0.011 0.011 0.206
2 Pr 0.223 0.223 0.331
3 Pr 0.347 0.347 0.030
4 Pr 0.402 0.402 0.458
5 Pr 0.598 0.598 0.542
6 Pr 0.653 0.653 0.970
7 Pr 0.777 0.777 0.669
8 Pr 0.989 0.989 0.794
9 Co 0.500 0.500 0.000
10 Ni 0.170 0.170 0.735
11 Ni 0.830 0.830 0.265

(2)
Crystalline PrCoNi at its relaxed geometry. Source: the Alexandria database, functional PBE-GGA.

Output
- Excess energy over the best structure of this formula in the dataset: 0.0000 eV per atom
- Space group: Imma
- Energy of formation: -16 kJ per mole of atoms

Cell: 3.967 8.224 6.909 Å, 90.00 90.00 90.00°
Atoms (fractional coordinates):
1 Pr 0.000 0.000 0.000
2 Pr 0.000 0.500 0.000
3 Pr 0.500 0.000 0.500
4 Pr 0.500 0.500 0.500
5 Co 0.000 0.250 0.325
6 Co 0.000 0.750 0.675
7 Co 0.500 0.250 0.175
8 Co 0.500 0.750 0.825
9 Ni 0.000 0.250 0.662
10 Ni 0.000 0.750 0.338
11 Ni 0.500 0.250 0.838
12 Ni 0.500 0.750 0.162

(3)
Crystalline Pr4Co2Ni5 at its relaxed geometry. Source: the Alexandria database, functional PBE-GGA.

Output
- Space group: P2/m
- Energy of formation: -15 kJ per mole of atoms

Cell: 6.573 4.183 7.595 Å, 90.00 90.87 90.00°
Atoms (fractional coordinates):
1 Pr 0.242 0.000 0.375
2 Pr 0.255 0.000 0.877
3 Pr 0.745 0.000 0.123
4 Pr 0.758 0.000 0.625
5 Co 0.086 0.500 0.127
6 Co 0.914 0.500 0.873
7 Ni 0.130 0.500 0.623
8 Ni 0.446 0.500 0.163
9 Ni 0.500 0.500 0.500
10 Ni 0.554 0.500 0.837
11 Ni 0.870 0.500 0.377

(4)
Crystalline PrCoNi at its relaxed geometry. Source: the Alexandria database, functional PBE-GGA.

Output
- Excess energy over the best structure of this formula in the dataset: 0.2889 eV per atom
- Space group: Cmcm
- Energy of formation: 12 kJ per mole of atoms

Cell: 5.343 7.843 5.348 Å, 90.00 90.00 90.00°
Atoms (fractional coordinates):
1 Pr 0.000 0.155 0.250
2 Pr 0.000 0.845 0.750
3 Pr 0.500 0.345 0.750
4 Pr 0.500 0.655 0.250
5 Co 0.000 0.500 0.000
6 Co 0.000 0.500 0.500
7 Co 0.500 0.000 0.000
8 Co 0.500 0.000 0.500
9 Ni 0.000 0.237 0.750
10 Ni 0.000 0.763 0.250
11 Ni 0.500 0.263 0.250
12 Ni 0.500 0.737 0.750

(5)
Crystalline Pr2Co2Ni15 at its relaxed geometry. Source: the Alexandria database, functional PBE-GGA.

Output
- Space group: R-3m
- Energy of formation: -13 kJ per mole of atoms

Cell: 6.320 6.320 6.320 Å, 83.00 83.00 83.00°
Atoms (fractional coordinates):
1 Pr 0.158 0.158 0.158
2 Pr 0.842 0.842 0.842
3 Co 0.407 0.407 0.407
4 Co 0.593 0.593 0.593
5 Ni 0.000 0.500 0.500
6 Ni 0.159 0.159 0.651
7 Ni 0.159 0.651 0.159
8 Ni 0.210 0.500 0.790
9 Ni 0.210 0.790 0.500
10 Ni 0.349 0.841 0.841
11 Ni 0.500 0.000 0.500
12 Ni 0.500 0.210 0.790
13 Ni 0.500 0.500 0.000
14 Ni 0.500 0.790 0.210
15 Ni 0.651 0.159 0.159
16 Ni 0.790 0.210 0.500
17 Ni 0.790 0.500 0.210
18 Ni 0.841 0.349 0.841
19 Ni 0.841 0.841 0.349

(6)
Crystalline PrCoNi at its relaxed geometry. Source: the Alexandria database, functional PBE-GGA.

Output
- Excess energy over the best structure of this formula in the dataset: 0.0447 eV per atom
- Space group: Imma
- Energy of formation: -12 kJ per mole of atoms

Cell: 5.045 5.245 7.493 Å, 90.00 90.00 90.00°
Atoms (fractional coordinates):
1 Pr 0.000 0.250 0.122
2 Pr 0.000 0.750 0.878
3 Pr 0.500 0.250 0.378
4 Pr 0.500 0.750 0.622
5 Co 0.250 0.250 0.750
6 Co 0.250 0.750 0.250
7 Co 0.750 0.250 0.750
8 Co 0.750 0.750 0.250
9 Ni 0.000 0.000 0.500
10 Ni 0.000 0.500 0.500
11 Ni 0.500 0.000 0.000
12 Ni 0.500 0.500 0.000

(7)
Crystalline Pr2Co5Ni5 at its relaxed geometry. Source: the Alexandria database, functional PBE-GGA.

Output
- Excess energy over the best structure of this formula in the dataset: 0.0295 eV per atom
- Space group: Pmmm
- Energy of formation: -9 kJ per mole of atoms

Cell: 3.967 5.041 8.604 Å, 90.00 90.00 90.00°
Atoms (fractional coordinates):
1 Pr 0.000 0.000 0.000
2 Pr 0.000 0.500 0.500
3 Co 0.000 0.000 0.334
4 Co 0.000 0.000 0.666
5 Co 0.000 0.500 0.158
6 Co 0.000 0.500 0.842
7 Co 0.500 0.500 0.000
8 Ni 0.500 0.000 0.500
9 Ni 0.500 0.250 0.250
10 Ni 0.500 0.250 0.750
11 Ni 0.500 0.750 0.250
12 Ni 0.500 0.750 0.750

(8)
Crystalline Pr4Co3Ni at its relaxed geometry. Source: the Alexandria database, functional PBE-GGA.

Output
- Space group: Pmm2
- Energy of formation: -9 kJ per mole of atoms

Cell: 3.982 4.028 11.278 Å, 90.00 90.00 90.00°
Atoms (fractional coordinates):
1 Pr 0.000 0.000 0.000
2 Pr 0.000 0.500 0.496
3 Pr 0.500 0.000 0.277
4 Pr 0.500 0.500 0.777
5 Co 0.000 0.000 0.691
6 Co 0.000 0.500 0.200
7 Co 0.500 0.000 0.586
8 Ni 0.500 0.500 0.077

(9)
Crystalline PrCoNi4 at its relaxed geometry. Source: the Alexandria database, functional PBE-GGA.

Output
- Space group: Pmma
- Energy of formation: -2 kJ per mole of atoms

Cell: 7.049 3.791 6.607 Å, 90.00 90.00 90.00°
Atoms (fractional coordinates):
1 Pr 0.250 0.000 0.128
2 Pr 0.750 0.000 0.872
3 Co 0.250 0.000 0.713
4 Co 0.750 0.000 0.287
5 Ni 0.000 0.000 0.500
6 Ni 0.058 0.500 0.776
7 Ni 0.250 0.500 0.469
8 Ni 0.442 0.500 0.776
9 Ni 0.500 0.000 0.500
10 Ni 0.558 0.500 0.224
11 Ni 0.750 0.500 0.531
12 Ni 0.942 0.500 0.224

(10)
Crystalline PrPuCoNi at its relaxed geometry. Source: the Alexandria database, functional PBE-GGA.

Output
- Space group: F-43m
- Energy of formation: 4 kJ per mole of atoms

Cell: 6.846 6.846 6.846 Å, 90.00 90.00 90.00°
Atoms (fractional coordinates):
1 Pr 0.000 0.000 0.000
2 Pr 0.000 0.500 0.500
3 Pr 0.500 0.000 0.500
4 Pr 0.500 0.500 0.000
5 Pu 0.000 0.000 0.500
6 Pu 0.000 0.500 0.000
7 Pu 0.500 0.000 0.000
8 Pu 0.500 0.500 0.500
9 Co 0.250 0.250 0.750
10 Co 0.250 0.750 0.250
11 Co 0.750 0.250 0.250
12 Co 0.750 0.750 0.750
13 Ni 0.250 0.250 0.250
14 Ni 0.250 0.750 0.750
15 Ni 0.750 0.250 0.750
16 Ni 0.750 0.750 0.250

(11)
Crystalline PrScCoNi at its relaxed geometry. Source: the Alexandria database, functional PBE-GGA.

Output
- Space group: F-43m
- Energy of formation: -14 kJ per mole of atoms

Cell: 6.669 6.669 6.669 Å, 90.00 90.00 90.00°
Atoms (fractional coordinates):
1 Pr 0.000 0.000 0.000
2 Pr 0.000 0.500 0.500
3 Pr 0.500 0.000 0.500
4 Pr 0.500 0.500 0.000
5 Sc 0.000 0.000 0.500
6 Sc 0.000 0.500 0.000
7 Sc 0.500 0.000 0.000
8 Sc 0.500 0.500 0.500
9 Co 0.250 0.250 0.750
10 Co 0.250 0.750 0.250
11 Co 0.750 0.250 0.250
12 Co 0.750 0.750 0.750
13 Ni 0.250 0.250 0.250
14 Ni 0.250 0.750 0.750
15 Ni 0.750 0.250 0.750
16 Ni 0.750 0.750 0.250

(12)
Crystalline Pr2Co3SiNi12 at its relaxed geometry. Source: the Alexandria database, functional PBE-GGA.

Output
- Space group: R-3m
- E_form (uncorrected): 172 meV per atom

Cell: 9.047 9.047 9.047 Å, 38.83 38.83 38.83°
Atoms (fractional coordinates):
1 Pr 0.153 0.153 0.153
2 Pr 0.847 0.847 0.847
3 Co 0.000 0.500 0.500
4 Co 0.500 0.000 0.500
5 Co 0.500 0.500 0.000
6 Si 0.500 0.500 0.500
7 Ni 0.083 0.083 0.690
8 Ni 0.083 0.690 0.083
9 Ni 0.155 0.566 0.566
10 Ni 0.310 0.917 0.917
11 Ni 0.434 0.434 0.845
12 Ni 0.434 0.845 0.434
13 Ni 0.566 0.155 0.566
14 Ni 0.566 0.566 0.155
15 Ni 0.690 0.083 0.083
16 Ni 0.845 0.434 0.434
17 Ni 0.917 0.310 0.917
18 Ni 0.917 0.917 0.310

Number 1: calculated total energy -5.268 eV per atom. Number 2: calculated total energy -6.057 eV per atom. Number 3: calculated total energy -5.815 eV per atom. Number 4: calculated total energy -5.768 eV per atom. Number 5: calculated total energy -5.955 eV per atom. Number 6: calculated total energy -6.013 eV per atom. Number 7: calculated total energy -6.264 eV per atom. Number 8: calculated total energy -5.870 eV per atom. Number 9: calculated total energy -5.851 eV per atom. Number 10: calculated total energy -7.963 eV per atom. Number 11: calculated total energy -6.147 eV per atom. Number 12: calculated total energy -5.699 eV per atom.